Record 1
InAu2Cl PBE-GGA relaxed; space group = No. 123
1.0
5.9501 0.0000 0.0000
0.0000 3.9642 0.0000
0.0000 0.0000 3.9642
Cl Au In
1 2 1
Direct
0.5000 0.5000 0.0000
0.0000 0.0000 0.0000
0.0000 0.5000 0.5000
0.5000 0.0000 0.5000

Record 2
InAuCl2 PBE-GGA relaxed; space group = No. 166
1.0
0.3724 -2.5161 8.8255
-0.4992 -5.7432 7.1501
3.0654 -4.6270 7.3180
Cl Au In
2 1 1
Direct
0.8954 0.8954 0.8954
0.1046 0.1046 0.1046
0.5000 0.5000 0.5000
0.0000 0.0000 0.0000

Record 3
InAuCl PBE-GGA relaxed; space group = No. 42
1.0
6.5174 0.0719 -0.0532
5.1854 3.4057 0.1103
1.3320 -0.8219 3.2350
Cl Au In
1 1 1
Direct
0.3372 0.3372 0.6628
0.0083 0.0083 0.9917
0.6544 0.6544 0.3456

Record 4
InAuCl2 PBE-GGA relaxed; space group = No. 122
1.0
-0.7371 0.5715 6.1220
4.3554 -4.3036 0.9262
6.7555 3.1669 3.6498
Cl Au In
4 2 2
Direct
0.6942 0.1250 0.2500
0.0558 0.6250 0.2500
0.3750 0.3058 0.7500
0.8750 0.9442 0.7500
0.0000 0.0000 0.0000
0.7500 0.2500 0.5000
0.5000 0.5000 0.0000
0.2500 0.7500 0.5000

Record 5
InAu2Cl PBE-GGA relaxed; space group = No. 44
1.0
5.5239 -0.1135 -0.0321
1.3335 5.3617 0.0321
-2.4040 -3.9629 3.0072
Cl Au In
1 2 1
Direct
0.5042 0.5042 0.0000
0.9992 0.9992 0.0000
0.2437 0.7437 0.5000
0.7528 0.2528 0.5000

Record 6
InAuCl2 PBE-GGA relaxed; space group = No. 160
1.0
-3.8581 -6.0657 -4.6937
-1.1194 -8.0015 -2.9040
-4.4055 -7.2812 -1.1337
Cl Au In
2 1 1
Direct
0.0284 0.0284 0.0284
0.2248 0.2248 0.2248
0.7571 0.7571 0.7571
0.4897 0.4897 0.4897

Calculated values (meV per atom) of excess energy over the best structure of this formula in the dataset for the records, taken in order: 130.0 453.1 139.5 246.9 153.0 22.5.
Calculated values (kJ per mole of atoms) of raw formation energy for the records, taken in order: -7.1 -10.9 -18.5 -30.8 -4.9 -52.5.